Entry 1:
! PaTi2Pd (PBE-GGA, optimized geometry); values from VASP
! - E (eV/atom) = -7.75
! - E_form (eV per atom) = -0.1296
! - relative energy among the computed polymorphs (meV per atom) = 48
&SYSTEM
  ibrav = 0, nat = 4, ntyp = 3
/
ATOMIC_SPECIES
Pa 231.04 Pa.upf
Ti 47.87 Ti.upf
Pd 106.42 Pd.upf
CELL_PARAMETERS angstrom
2.3667 1.3664 3.8493
-2.3667 1.3664 3.8493
0.0000 -2.7328 3.8493
ATOMIC_POSITIONS crystal
Pa 0.0000 0.0000 0.0000
Ti 0.2492 0.2492 0.2492
Ti 0.4996 0.4996 0.4996
Pd 0.7497 0.7497 0.7497

Entry 2:
! Pm12NdSc7 (PBE-GGA, optimized geometry); values from VASP
! - E (eV/atom) = -5.15
! - E_form (eV per atom) = 0.1587
&SYSTEM
  ibrav = 0, nat = 20, ntyp = 3
/
ATOMIC_SPECIES
Pm 145.00 Pm.upf
Nd 144.24 Nd.upf
Sc 44.96 Sc.upf
CELL_PARAMETERS angstrom
7.4356 4.2929 3.2450
-7.4356 4.2929 3.2450
0.0000 -8.5859 3.2450
ATOMIC_POSITIONS crystal
Pm 0.0638 0.2984 0.4112
Pm 0.2021 0.6742 0.3746
Pm 0.2984 0.4112 0.0638
Pm 0.3258 0.6254 0.7979
Pm 0.3746 0.2021 0.6742
Pm 0.4112 0.0638 0.2984
Pm 0.5888 0.9362 0.7016
Pm 0.6254 0.7979 0.3258
Pm 0.6742 0.3746 0.2021
Pm 0.7016 0.5888 0.9362
Pm 0.7979 0.3258 0.6254
Pm 0.9362 0.7016 0.5888
Nd 0.0000 0.0000 0.0000
Sc 0.0012 0.1028 0.6844
Sc 0.1028 0.6844 0.0012
Sc 0.3156 0.9988 0.8972
Sc 0.5000 0.5000 0.5000
Sc 0.6844 0.0012 0.1028
Sc 0.8972 0.3156 0.9988
Sc 0.9988 0.8972 0.3156

Entry 3:
! NdAlCd (PBE-GGA, optimized geometry); values from VASP
! - E (eV/atom) = -3.35
! - E_form (eV per atom) = -0.2075
&SYSTEM
  ibrav = 0, nat = 3, ntyp = 3
/
ATOMIC_SPECIES
Nd 144.24 Nd.upf
Al 26.98 Al.upf
Cd 112.41 Cd.upf
CELL_PARAMETERS angstrom
0.0000 3.4448 3.4448
3.4448 0.0000 3.4448
3.4448 3.4448 0.0000
ATOMIC_POSITIONS crystal
Nd 0.0000 0.0000 0.0000
Al 0.2500 0.2500 0.2500
Cd 0.5000 0.5000 0.5000

> Which of these has the lowest E?

PaTi2Pd

> What is the E in the first record?

-7.75 eV/atom

> Which of these has the lowest E_form?

NdAlCd

> The highest E belongs to which entry?

NdAlCd